No. 1
# PuHfTcAu (PBE, optimized geometry)
data_PuHfTcAu
_chemical_formula_sum 'Pu1 Hf1 Tc1 Au1'
_cell_length_a 4.830
_cell_length_b 4.830
_cell_length_c 4.830
_cell_angle_alpha 60.00
_cell_angle_beta 60.00
_cell_angle_gamma 60.00
_space_group_name_H-M_alt 'P 1'
_space_group_IT_number 1
_space_group_name_Hall 'P 1'
loop_
_atom_site_label
_atom_site_type_symbol
_atom_site_fract_x
_atom_site_fract_y
_atom_site_fract_z
Au1 Au 0.250 0.250 0.250
Hf1 Hf 0.500 0.500 0.500
Tc1 Tc 0.750 0.750 0.750
Pu1 Pu 0.000 0.000 0.000
# **V**: 79.7 Å³/cell
# **Formation energy from the elements**: -0.15 eV per atom

No. 2
# RbHfAu3 (PBE, optimized geometry)
data_RbHfAu3
_chemical_formula_sum 'Rb1 Hf1 Au3'
_cell_length_a 5.392
_cell_length_b 5.392
_cell_length_c 5.392
_cell_angle_alpha 90.00
_cell_angle_beta 90.00
_cell_angle_gamma 90.00
_space_group_name_H-M_alt 'P 1'
_space_group_IT_number 1
_space_group_name_Hall 'P 1'
loop_
_atom_site_label
_atom_site_type_symbol
_atom_site_fract_x
_atom_site_fract_y
_atom_site_fract_z
Hf1 Hf 0.000 0.000 0.000
Au1 Au 0.000 0.000 0.500
Au2 Au 0.000 0.500 0.000
Rb1 Rb 0.500 0.500 0.500
Au3 Au 0.500 0.000 0.000
# **V**: 156.8 Å³/cell
# **Formation energy from the elements**: 0.04 eV per atom
# **Distance to the lowest polymorph of the same formula**: 0 meV per atom

No. 3
# RbHf2Au2 (PBE, optimized geometry)
data_RbHf2Au2
_chemical_formula_sum 'Rb1 Hf2 Au2'
_cell_length_a 4.776
_cell_length_b 4.776
_cell_length_c 6.746
_cell_angle_alpha 69.27
_cell_angle_beta 69.27
_cell_angle_gamma 90.00
_space_group_name_H-M_alt 'P 1'
_space_group_IT_number 1
_space_group_name_Hall 'P 1'
loop_
_atom_site_label
_atom_site_type_symbol
_atom_site_fract_x
_atom_site_fract_y
_atom_site_fract_z
Rb1 Rb 0.000 0.000 0.000
Hf1 Hf 0.750 0.250 0.500
Hf2 Hf 0.250 0.750 0.500
Au1 Au 0.373 0.373 0.254
Au2 Au 0.627 0.627 0.746
# **V**: 133.2 Å³/cell
# **Formation energy from the elements**: 0.10 eV per atom
# **Distance to the lowest polymorph of the same formula**: 77 meV per atom